No. 1
Entry from Alexandria: a geometry-optimized HoThGeAs structure (GGA-PBE).

abc: 4.2244 4.2244 20.4220
angles: 90.00 90.00 120.00
Space group R3m (No. 160, hexagonal axes)
Unique sites:
Ho  0.0000  0.0000  0.0000 [3 per cell]
Th  0.0000  0.0000  0.4983 [3 per cell]
Ge  0.0000  0.0000  0.7471 [3 per cell]
As  0.0000  0.0000  0.2522 [3 per cell]

Properties
E = -6.437 eV/atom
DFT formation energy = -1.12 eV/atom
DOS at the Fermi energy = 4.613 states/eV per cell

***

No. 2
Entry from Alexandria: a geometry-optimized LiLaCeY structure (GGA-PBE).

abc: 7.793 7.793 7.793
angles: 90.00 90.00 90.00
Space group F-43m (No. 216)
Unique sites:
Li  0.000  0.000  0.000 [4 per cell]
La  0.250  0.250  0.750 [4 per cell]
Ce  0.000  0.000  0.500 [4 per cell]
Y  0.250  0.250  0.250 [4 per cell]

Properties
E = -4.541 eV/atom
DFT formation energy = 0.27 eV/atom
DOS at the Fermi energy = 34.129 states/eV per cell

***

No. 3
Entry from Alexandria: a geometry-optimized AcPaCu2O7 structure (GGA-PBE).

abc: 4.158 4.158 17.206
angles: 90.00 90.00 90.00
Space group I-4m2 (No. 119)
Unique sites:
Ac  0.000  0.000  0.000 [2 per cell]
Pa  0.000  0.500  0.250 [2 per cell]
Cu  0.000  0.000  0.391 [4 per cell]
O  0.000  0.000  0.274 [4 per cell]
O  0.000  0.000  0.500 [2 per cell]
O  0.000  0.500  0.119 [4 per cell]
O  0.000  0.500  0.591 [4 per cell]

Properties
E = -7.160 eV/atom
DOS at the Fermi energy = 9.653 states/eV per cell
raw formation energy = -2.024 eV/atom

***

No. 4
Entry from Alexandria: a geometry-optimized CsNaCeBr5 structure (GGA-PBE).

abc: 9.852 13.761 11.242
angles: 90.00 112.28 90.00
Space group C2/c (No. 15)
Unique sites:
Cs  0.000  0.162  0.250 [4 per cell]
Na  0.000  0.190  0.750 [4 per cell]
Ce  0.000  0.500  0.000 [4 per cell]
Br  0.000  0.434  0.250 [4 per cell]
Br  0.099  0.303  0.587 [8 per cell]
Br  0.196  0.057  0.931 [8 per cell]

Properties
E = -3.811 eV/atom
DOS at the Fermi energy = 34.125 states/eV per cell
raw formation energy = -1.752 eV/atom

***

No. 5
Entry from Alexandria: a geometry-optimized NbAlTcRu structure (GGA-PBE).

abc: 6.229 6.229 6.229
angles: 90.00 90.00 90.00
Space group F-43m (No. 216)
Unique sites:
Nb  0.000  0.000  0.000 [4 per cell]
Al  0.000  0.000  0.500 [4 per cell]
Tc  0.250  0.250  0.750 [4 per cell]
Ru  0.250  0.250  0.250 [4 per cell]

Properties
E = -8.851 eV/atom
DFT formation energy = -0.49 eV/atom
DOS at the Fermi energy = 11.258 states/eV per cell

***

No. 6
Entry from Alexandria: a geometry-optimized DyYAg2 structure (GGA-PBE).

abc: 7.284 7.284 7.284
angles: 90.00 90.00 90.00
Space group Fm-3m (No. 225)
Unique sites:
Dy  0.000  0.000  0.000 [4 per cell]
Y  0.000  0.000  0.500 [4 per cell]
Ag  0.250  0.250  0.250 [8 per cell]

Properties
E = -4.515 eV/atom
DFT formation energy = -0.32 eV/atom
DOS at the Fermi energy = 9.287 states/eV per cell

***

No. 7
Entry from Alexandria: a geometry-optimized Sr3Mg4Au4 structure (GGA-PBE).

abc: 4.329 8.385 15.509
angles: 90.00 90.00 90.00
Space group Immm (No. 71)
Unique sites:
Sr  0.000  0.000  0.000 [2 per cell]
Sr  0.000  0.500  0.118 [4 per cell]
Mg  0.000  0.308  0.324 [8 per cell]
Au  0.000  0.000  0.225 [4 per cell]
Au  0.000  0.204  0.500 [4 per cell]

Properties
E = -2.856 eV/atom
DFT formation energy = -0.63 eV/atom
DOS at the Fermi energy = 8.273 states/eV per cell

***

No. 8
Entry from Alexandria: a geometry-optimized Ca2MnNbHg structure (GGA-PBE).

abc: 5.643 5.643 5.373
angles: 90.00 90.00 90.00
Space group P4/mmm (No. 123)
Unique sites:
Ca  0.000  0.500  0.000 [2 per cell]
Mn  0.000  0.000  0.500 [1 per cell]
Nb  0.500  0.500  0.500 [1 per cell]
Hg  0.500  0.500  0.000 [1 per cell]

Properties
E = -3.725 eV/atom
DFT formation energy = 0.98 eV/atom
DOS at the Fermi energy = 7.513 states/eV per cell

***

No. 9
Entry from Alexandria: a geometry-optimized Sm2TmTc structure (GGA-PBE).

abc: 3.515 3.515 8.747
angles: 90.00 90.00 90.00
Space group P4/mmm (No. 123)
Unique sites:
Sm  0.000  0.000  0.193 [2 per cell]
Tm  0.500  0.500  0.500 [1 per cell]
Tc  0.500  0.500  0.000 [1 per cell]

Properties
E = -5.950 eV/atom
DFT formation energy = 0.12 eV/atom
DOS at the Fermi energy = 5.787 states/eV per cell

***

No. 10
Entry from Alexandria: a geometry-optimized DyErGaRu structure (GGA-PBE).

abc: 4.288 3.883 10.645
angles: 90.00 90.00 90.00
Space group Amm2 (No. 38)
Unique sites:
Dy  0.000  0.000  0.000 [2 per cell]
Er  0.500  0.000  0.286 [2 per cell]
Ga  0.500  0.000  0.579 [2 per cell]
Ru  0.000  0.000  0.718 [2 per cell]

Properties
E = -5.865 eV/atom
DFT formation energy = -0.50 eV/atom
DOS at the Fermi energy = 6.505 states/eV per cell

***

No. 11
Entry from Alexandria: a geometry-optimized CsTa3Cu structure (GGA-PBE).

abc: 4.869 4.869 4.869
angles: 90.00 90.00 90.00
Space group Pm-3m (No. 221)
Unique sites:
Cs  0.000  0.000  0.000 [1 per cell]
Ta  0.000  0.500  0.500 [3 per cell]
Cu  0.500  0.500  0.500 [1 per cell]

Properties
E = -6.181 eV/atom
DFT formation energy = 1.92 eV/atom
DOS at the Fermi energy = 8.055 states/eV per cell

***

No. 12
Entry from Alexandria: a geometry-optimized ZnGa2Ag structure (GGA-PBE).

abc: 7.532 7.532 5.393
angles: 90.00 90.00 90.00
Space group I-42d (No. 122)
Unique sites:
Zn  0.000  0.000  0.000 [4 per cell]
Ga  0.241  0.750  0.125 [8 per cell]
Ag  0.000  0.000  0.500 [4 per cell]

Properties
E = -2.407 eV/atom
DFT formation energy = 0.14 eV/atom
DOS at the Fermi energy = 6.808 states/eV per cell